1.
This record from the Alexandria database describes a relaxed SrInAs2 crystal. The functional is PBE.

- calculated total energy (eV/atom) = -3.78
- energy of formation from the pure elements (eV/atom) = -0.35
- symmetry = I4/mmm (139)

a = 5.6164 Å, b = 5.6164 Å, c = 5.6164 Å
α = 130.52°, β = 130.52°, γ = 72.58°
Fractional coordinates of all 4 atoms:
Sr: 0.0000 0.0000 0.0000
In: 0.5000 0.5000 0.0000
As: 0.2500 0.7500 0.5000
As: 0.7500 0.2500 0.5000

2.
This record from the Alexandria database describes a relaxed ThCd2Sn crystal. The functional is PBE.

- calculated total energy (eV/atom) = -3.63
- energy of formation from the pure elements (eV/atom) = -0.31
- symmetry = P4/mmm (123)

a = 4.5927 Å, b = 4.5927 Å, c = 4.9629 Å
α = 90.00°, β = 90.00°, γ = 90.00°
Fractional coordinates of all 4 atoms:
Th: 0.0000 0.0000 0.0000
Cd: 0.0000 0.5000 0.5000
Cd: 0.5000 0.0000 0.5000
Sn: 0.5000 0.5000 0.0000

3.
This record from the Alexandria database describes a relaxed LaSBrCl2 crystal. The functional is PBE.

- calculated total energy (eV/atom) = -4.00
- symmetry = P4/mmm (123)

a = 5.4754 Å, b = 5.4754 Å, c = 5.9655 Å
α = 90.00°, β = 90.00°, γ = 90.00°
Fractional coordinates of all 5 atoms:
La: 0.0000 0.0000 0.0000
S: 0.0000 0.0000 0.5000
Br: 0.5000 0.5000 0.5000
Cl: 0.0000 0.5000 0.0000
Cl: 0.5000 0.0000 0.0000

4.
This record from the Alexandria database describes a relaxed Ac2Ga3Au9 crystal. The functional is PBE.

- calculated total energy (eV/atom) = -3.85
- energy of formation from the pure elements (eV/atom) = -0.50
- symmetry = C2/c (15)

a = 8.2546 Å, b = 8.2546 Å, c = 11.2409 Å
α = 112.57°, β = 112.57°, γ = 58.91°
Fractional coordinates of all 28 atoms:
Ac: 0.0840 0.2525 0.2455
Ac: 0.2525 0.0840 0.7455
Ac: 0.7475 0.9160 0.2545
Ac: 0.9160 0.7475 0.7545
Ga: 0.0000 0.5000 0.0000
Ga: 0.1410 0.6859 0.5071
Ga: 0.3141 0.8590 0.9929
Ga: 0.5000 0.0000 0.5000
Ga: 0.6859 0.1410 0.0071
Ga: 0.8590 0.3141 0.4929
Au: 0.0309 0.8474 0.0814
Au: 0.1526 0.9691 0.4186
Au: 0.1992 0.3577 0.5695
Au: 0.2105 0.5774 0.2649
Au: 0.3119 0.4834 0.9424
Au: 0.3577 0.1992 0.0695
Au: 0.3634 0.6366 0.7500
Au: 0.4226 0.7895 0.2351
Au: 0.4834 0.3119 0.4424
Au: 0.5166 0.6881 0.5576
Au: 0.5774 0.2105 0.7649
Au: 0.6366 0.3634 0.2500
Au: 0.6423 0.8008 0.9305
Au: 0.6881 0.5166 0.0576
Au: 0.7895 0.4226 0.7351
Au: 0.8008 0.6423 0.4305
Au: 0.8474 0.0309 0.5814
Au: 0.9691 0.1526 0.9186

5.
This record from the Alexandria database describes a relaxed Tb6Sm3Y2Pu crystal. The functional is PBE.

- calculated total energy (eV/atom) = -5.72
- energy of formation from the pure elements (eV/atom) = 0.05
- symmetry = C2/m (12)

a = 6.1820 Å, b = 6.1820 Å, c = 11.7913 Å
α = 95.03°, β = 95.03°, γ = 120.02°
Fractional coordinates of all 12 atoms:
Tb: 0.0821 0.4109 0.7467
Tb: 0.2468 0.2468 0.2532
Tb: 0.4109 0.0821 0.7467
Tb: 0.5891 0.9179 0.2533
Tb: 0.7532 0.7532 0.7468
Tb: 0.9179 0.5891 0.2533
Sm: 0.1670 0.8330 0.0000
Sm: 0.5000 0.5000 0.0000
Sm: 0.8330 0.1670 0.0000
Y: 0.3334 0.6666 0.5000
Y: 0.6666 0.3334 0.5000
Pu: 0.0000 0.0000 0.5000

6.
This record from the Alexandria database describes a relaxed LaPmNd4 crystal. The functional is PBE.

- calculated total energy (eV/atom) = -4.74
- energy of formation from the pure elements (eV/atom) = 0.05
- symmetry = Immm (71)

a = 6.8447 Å, b = 6.8447 Å, c = 6.8447 Å
α = 129.33°, β = 116.94°, γ = 85.02°
Fractional coordinates of all 6 atoms:
La: 0.0000 0.0000 0.0000
Pm: 0.5000 0.0000 0.5000
Nd: 0.0834 0.3326 0.7508
Nd: 0.4182 0.6674 0.7508
Nd: 0.5818 0.3326 0.2492
Nd: 0.9166 0.6674 0.2492